CoTeCl6 | GGA-PBE | optimized geometry

Results
The value obtained for the raw total energy is -3.162 eV per atom. The energy relative to the elements, uncorrected is -496 meV per atom.

abc: 6.269 6.996 6.996
angles: 126.74 98.08 98.08
Sites, in units of the cell vectors:
Co 0.000 0.000 0.000
Te 0.500 0.500 0.500
Cl 0.767 0.632 0.903
Cl 0.767 0.903 0.632
Cl 0.233 0.097 0.368
Cl 0.233 0.368 0.097
Cl 0.751 0.250 0.250
Cl 0.249 0.750 0.750

CoTeCl2 | GGA-PBE | optimized geometry

Results
The value obtained for the raw total energy is -3.589 eV per atom. The energy relative to the elements, uncorrected is -104 meV per atom.

abc: 3.502 3.502 11.194
angles: 90.00 90.00 126.63
Sites, in units of the cell vectors:
Te 0.500 0.500 0.750
Co 0.500 0.500 0.250
Cl 0.000 0.000 0.114
Cl 0.000 0.000 0.386

CoTeCl2 | GGA-PBE | optimized geometry

Results
The value obtained for the raw total energy is -2.847 eV per atom. The energy relative to the elements, uncorrected is 638 meV per atom.

abc: 4.406 4.386 4.386
angles: 90.00 90.00 90.00
Sites, in units of the cell vectors:
Te 0.500 0.000 0.500
Co 0.500 0.500 0.000
Cl 0.000 0.000 0.000
Cl 0.000 0.500 0.500

CoTeCl4 | GGA-PBE | optimized geometry

Results
The value obtained for the raw total energy is -1.950 eV per atom. The energy relative to the elements, uncorrected is 989 meV per atom.

abc: 5.813 5.813 5.813
angles: 60.00 60.00 60.00
Sites, in units of the cell vectors:
Co 0.750 0.750 0.750
Te 0.000 0.000 0.000
Cl 0.875 0.375 0.375
Cl 0.375 0.375 0.875
Cl 0.375 0.875 0.375
Cl 0.375 0.375 0.375

CoTeCl2 | GGA-PBE | optimized geometry

Results
The value obtained for the raw total energy is -3.136 eV per atom. The energy relative to the elements, uncorrected is 349 meV per atom.

abc: 3.229 5.876 4.510
angles: 90.00 90.00 90.00
Sites, in units of the cell vectors:
Te 0.000 0.500 0.500
Co 0.500 0.000 0.500
Cl 0.000 0.000 0.000
Cl 0.500 0.500 0.000

CoTe2Cl | GGA-PBE | optimized geometry

Results
The energy above the most stable polymorph in this dataset is 44.0 meV/atom. The value obtained for the raw total energy is -4.032 eV per atom. The energy relative to the elements, uncorrected is -223 meV per atom.

abc: 3.921 7.587 6.853
angles: 90.00 90.00 104.87
Sites, in units of the cell vectors:
Co 0.806 0.611 0.750
Co 0.194 0.389 0.250
Te 0.331 0.663 0.503
Te 0.669 0.337 0.497
Te 0.331 0.663 0.997
Te 0.669 0.337 0.003
Cl 0.033 0.069 0.250
Cl 0.967 0.931 0.750

CoTe2Cl | GGA-PBE | optimized geometry

Results
The energy above the most stable polymorph in this dataset is 178.0 meV/atom. The value obtained for the raw total energy is -3.898 eV per atom. The energy relative to the elements, uncorrected is -89 meV per atom.

abc: 6.309 6.309 6.051
angles: 73.22 73.22 30.08
Sites, in units of the cell vectors:
Te 0.103 0.103 0.877
Te 0.242 0.242 0.176
Co 0.770 0.770 0.836
Cl 0.386 0.386 0.611

CoTe2Cl | GGA-PBE | optimized geometry

Results
The energy above the most stable polymorph in this dataset is 225.2 meV/atom. The value obtained for the raw total energy is -3.851 eV per atom. The energy relative to the elements, uncorrected is -42 meV per atom.

abc: 6.946 6.946 6.946
angles: 151.71 133.63 55.21
Sites, in units of the cell vectors:
Te 0.120 0.120 0.000
Te 0.718 0.218 0.500
Co 0.267 0.767 0.500
Cl 0.395 0.395 0.000

CoTe2Cl | GGA-PBE | optimized geometry

Results
The energy above the most stable polymorph in this dataset is 389.9 meV/atom. The value obtained for the raw total energy is -3.686 eV per atom. The energy relative to the elements, uncorrected is 123 meV per atom.

abc: 3.116 3.116 10.468
angles: 90.00 90.00 90.00
Sites, in units of the cell vectors:
Te 0.000 0.000 0.893
Te 0.500 0.500 0.238
Co 0.500 0.500 0.761
Cl 0.000 0.000 0.608

CoTe2Cl | GGA-PBE | optimized geometry

Results
The energy above the most stable polymorph in this dataset is 313.5 meV/atom. The value obtained for the raw total energy is -3.762 eV per atom. The energy relative to the elements, uncorrected is 47 meV per atom.

abc: 3.284 3.291 7.770
angles: 90.00 90.00 90.00
Sites, in units of the cell vectors:
Te 0.000 0.000 0.944
Te 0.000 0.000 0.556
Co 0.500 0.500 0.750
Cl 0.500 0.500 0.250

Co2Te2Cl | GGA-PBE | optimized geometry

Results
The value obtained for the raw total energy is -4.710 eV per atom. The energy relative to the elements, uncorrected is -241 meV per atom.

abc: 3.725 3.725 8.029
angles: 76.59 76.59 90.00
Sites, in units of the cell vectors:
Te 0.358 0.358 0.285
Te 0.642 0.642 0.715
Co 0.750 0.250 0.500
Co 0.250 0.750 0.500
Cl 0.000 0.000 0.000

CoTe2Cl | GGA-PBE | optimized geometry

Results
The energy above the most stable polymorph in this dataset is 781.1 meV/atom. The value obtained for the raw total energy is -3.295 eV per atom. The energy relative to the elements, uncorrected is 514 meV per atom.

abc: 3.255 6.986 4.464
angles: 90.00 90.00 90.00
Sites, in units of the cell vectors:
Te 0.000 0.000 0.000
Te 0.500 0.500 0.000
Co 0.000 0.500 0.500
Cl 0.500 0.000 0.500

Tm3CoTeCl | GGA-PBE | optimized geometry

Results
The value obtained for the raw total energy is -5.157 eV per atom. The energy relative to the elements, uncorrected is -905 meV per atom.

abc: 3.982 8.333 9.503
angles: 96.45 90.00 90.00
Sites, in units of the cell vectors:
Tm 0.750 0.782 0.114
Tm 0.250 0.218 0.886
Tm 0.250 0.628 0.383
Tm 0.750 0.372 0.617
Tm 0.750 0.351 0.181
Tm 0.250 0.649 0.819
Co 0.250 0.540 0.083
Co 0.750 0.460 0.917
Te 0.250 0.075 0.181
Te 0.750 0.925 0.819
Cl 0.250 0.159 0.586
Cl 0.750 0.841 0.414

Zr2CoTeCl | GGA-PBE | optimized geometry

Results
The value obtained for the raw total energy is -4.682 eV per atom. The energy relative to the elements, uncorrected is 1156 meV per atom.

abc: 5.340 5.452 5.340
angles: 90.00 90.00 90.00
Sites, in units of the cell vectors:
Te 0.000 0.000 0.000
Co 0.500 0.500 0.500
Zr 0.000 0.000 0.500
Zr 0.500 0.000 0.000
Cl 0.000 0.500 0.000

ThCoCl | GGA-PBE | optimized geometry

Results
The value obtained for the raw total energy is -6.550 eV per atom. The energy relative to the elements, uncorrected is -1092 meV per atom.

abc: 3.935 3.935 11.570
angles: 90.29 99.49 120.01
Sites, in units of the cell vectors:
Th 0.891 0.441 0.331
Th 0.109 0.559 0.669
Co 0.335 0.168 0.503
Co 0.665 0.832 0.497
Cl 0.555 0.285 0.840
Cl 0.445 0.715 0.160